# 1
# AcErTa | the Open Quantum Materials Database | GGA-PBE | optimized geometry
data_AcErTa
_space_group_name_H-M_alt 'F -4 3 m'
_space_group_IT_number 216
_space_group_name_Hall 'F -4 2 3'
_cell_length_a 7.360
_cell_length_b 7.360
_cell_length_c 7.360
_cell_angle_alpha 90.00
_cell_angle_beta 90.00
_cell_angle_gamma 90.00
loop_
_atom_site_label
_atom_site_type_symbol
_atom_site_fract_x
_atom_site_fract_y
_atom_site_fract_z
_atom_site_occupancy
Ac1 Ac 0.000 0.000 0.000 1
Er1 Er 0.250 0.250 0.750 1
Ta1 Ta 0.250 0.250 0.250 1
# **Offset from the most stable computed form**: 0.68 eV/f.u.
# **Crystal system**: cubic
# **Total moment**: 1.1 μB/f.u.


# 2
# AcErTa | the Open Quantum Materials Database | GGA-PBE | optimized geometry
data_AcErTa
_space_group_name_H-M_alt 'F -4 3 m'
_space_group_IT_number 216
_space_group_name_Hall 'F -4 2 3'
_cell_length_a 7.366
_cell_length_b 7.366
_cell_length_c 7.366
_cell_angle_alpha 90.00
_cell_angle_beta 90.00
_cell_angle_gamma 90.00
loop_
_atom_site_label
_atom_site_type_symbol
_atom_site_fract_x
_atom_site_fract_y
_atom_site_fract_z
_atom_site_occupancy
Ac1 Ac 0.000 0.000 0.000 1
Er1 Er 0.250 0.250 0.250 1
Ta1 Ta 0.000 0.000 0.500 1
# **Offset from the most stable computed form**: 0.00 eV/f.u.
# **Crystal system**: cubic
# **Total moment**: 2.8 μB/f.u.